1.
Compound: KSc2Br
Source: Alexandria
Functional: GGA-PBE
Structure: relaxed

a b c (Å): 3.478 3.478 9.708
angles (deg): 90.00 90.00 90.00
Element x y z (fractional)
K 0.000 0.000 0.000
Sc 0.000 0.000 0.554
Sc 0.500 0.500 0.343
Br 0.500 0.500 0.751

Values from the calculation:
The value obtained for the theoretical density is 3.0 Mg/m³. The total magnetization comes out at 0.5 μB/cell. Its relative energy among the computed polymorphs is 2.9 kJ/mol of atoms.

2.
Compound: KSc2Br
Source: Alexandria
Functional: GGA-PBE
Structure: relaxed

a b c (Å): 3.583 3.486 9.975
angles (deg): 90.00 100.31 90.00
Element x y z (fractional)
K 0.000 0.000 0.000
Sc 0.328 0.500 0.660
Sc 0.724 0.000 0.452
Br 0.611 0.500 0.224

Values from the calculation:
The value obtained for the theoretical density is 2.8 Mg/m³. The total magnetization comes out at 1.1 μB/cell. Its relative energy among the computed polymorphs is 0.0 kJ/mol of atoms.

3.
Compound: KSc4Br
Source: Alexandria
Functional: GGA-PBE
Structure: relaxed

a b c (Å): 6.414 6.414 6.414
angles (deg): 60.00 60.00 60.00
Element x y z (fractional)
K 0.000 0.000 0.000
Sc 0.121 0.626 0.626
Sc 0.626 0.121 0.626
Sc 0.626 0.626 0.121
Sc 0.626 0.626 0.626
Br 0.250 0.250 0.250

Values from the calculation:
The value obtained for the theoretical density is 2.7 Mg/m³. The total magnetization comes out at 0.0 μB/cell. The calculation puts the total energy at -4.199 eV per atom.

4.
Compound: K3ScBr8
Source: Alexandria
Functional: GGA-PBE
Structure: relaxed

a b c (Å): 9.328 9.328 9.328
angles (deg): 133.06 133.06 68.56
Element x y z (fractional)
K 0.000 0.000 0.000
K 0.250 0.750 0.500
K 0.750 0.250 0.500
Sc 0.500 0.500 0.000
Br 0.168 0.168 0.557
Br 0.168 0.612 0.000
Br 0.388 0.388 0.557
Br 0.388 0.832 0.000
Br 0.612 0.168 0.000
Br 0.612 0.612 0.443
Br 0.832 0.388 0.000
Br 0.832 0.832 0.443

Values from the calculation:
The value obtained for the theoretical density is 3.1 Mg/m³. The total magnetization comes out at 0.0 μB/cell. The calculation puts the total energy at -3.149 eV per atom.